Compound: Dy5MgCu4
Source: the Alexandria database
Functional: PBE
Structure: relaxed

Cell lengths 3.468, 3.468, 18.445 Å; angles 90.00, 90.00, 90.00 degrees
Fractional coordinates of all 10 atoms:
Dy: 0.000 0.000 0.000
Dy: 0.000 0.000 0.188
Dy: 0.000 0.000 0.375
Dy: 0.000 0.000 0.625
Dy: 0.000 0.000 0.812
Mg: 0.500 0.500 0.500
Cu: 0.500 0.500 0.094
Cu: 0.500 0.500 0.285
Cu: 0.500 0.500 0.715
Cu: 0.500 0.500 0.906

Properties
energy of formation = -0.21 eV/atom
uncorrected energy = -43.13 eV per cell
total magnetization = 0.0 μB/f.u.



Compound: DyMg2Cu
Source: the Alexandria database
Functional: PBE
Structure: relaxed

Cell lengths 4.904, 4.904, 4.904 Å; angles 60.00, 60.00, 60.00 degrees
Fractional coordinates of all 4 atoms:
Dy: 0.000 0.000 0.000
Mg: 0.500 0.500 0.500
Mg: 0.750 0.750 0.750
Cu: 0.250 0.250 0.250

Properties
energy of formation = -0.09 eV/atom
uncorrected energy = -12.23 eV per cell
total magnetization = 0.0 μB/f.u.